[1]
The following is a PBE-GGA calculation of Tb3YHo6Er2 after structural relaxation, from Alexandria via LeMat-Bulk.

V = 31.177 A^3/atom
symmetry = C2/m (12)
total moment = 0.00 μB per formula unit
formation energy from the elements = 0.02 eV per atom

abc: 6.118 6.118 11.710
angles: 94.98 94.98 119.93
Element x y z (fractional)
Y (0.000, 0.000, 0.000)
Ho (0.251, 0.251, 0.751)
Ho (0.917, 0.583, 0.751)
Ho (0.417, 0.083, 0.249)
Ho (0.083, 0.417, 0.249)
Ho (0.583, 0.917, 0.751)
Ho (0.749, 0.749, 0.249)
Tb (0.833, 0.167, 0.500)
Tb (0.167, 0.833, 0.500)
Tb (0.500, 0.500, 0.500)
Er (0.333, 0.667, 0.000)
Er (0.667, 0.333, 0.000)

[2]
The following is a PBE-GGA calculation of TcAu2 after structural relaxation, from Alexandria via LeMat-Bulk.

V = 16.708 A^3/atom
symmetry = P-3m1 (164)
total moment = 0.00 μB per formula unit
formation energy from the elements = 0.29 eV per atom

abc: 2.852 2.852 7.114
angles: 90.00 90.00 120.00
Element x y z (fractional)
Au (0.000, 0.000, 0.009)
Au (0.333, 0.667, 0.657)
Tc (0.667, 0.333, 0.333)

[3]
The following is a PBE-GGA calculation of SiAg3Ir after structural relaxation, from Alexandria via LeMat-Bulk.

V = 19.656 A^3/atom
symmetry = Pm-3m (221)
formation energy from raw total energies = 1.0733 eV/atom
total moment = 0.00 μB per formula unit

abc: 4.615 4.615 4.615
angles: 90.00 90.00 90.00
Element x y z (fractional)
Ag (0.000, 0.500, 0.000)
Ag (0.500, 0.000, 0.000)
Ag (0.000, 0.000, 0.500)
Si (0.000, 0.000, 0.000)
Ir (0.500, 0.500, 0.500)

[4]
The following is a PBE-GGA calculation of TiTl2InS5 after structural relaxation, from Alexandria via LeMat-Bulk.

V = 24.959 A^3/atom
symmetry = Cmc2_1 (36)
formation energy from raw total energies = -0.6288 eV/atom
total moment = 0.00 μB per formula unit

abc: 3.735 9.058 13.569
angles: 90.00 90.00 101.90
Element x y z (fractional)
S (0.921, 0.842, 0.554)
S (0.633, 0.266, 0.506)
S (0.079, 0.158, 0.054)
S (0.367, 0.734, 0.006)
S (0.484, 0.969, 0.275)
S (0.264, 0.528, 0.652)
S (0.281, 0.561, 0.410)
S (0.516, 0.031, 0.775)
S (0.736, 0.472, 0.152)
S (0.719, 0.439, 0.910)
In (0.579, 0.157, 0.935)
In (0.421, 0.843, 0.435)
Tl (0.900, 0.799, 0.159)
Tl (0.100, 0.201, 0.659)
Tl (0.129, 0.257, 0.300)
Tl (0.871, 0.743, 0.800)
Ti (0.761, 0.521, 0.533)
Ti (0.239, 0.479, 0.033)